[1]
{
  "formula": "K3GdSi2O7",
  "functional": "SCAN",
  "state": "PBEsol geometry",
  "e_form_raw_mev_per_atom": -2934,
  "space_group": "P6_3/mcm (193)",
  "lattice_angstrom": [[9.928, 0.000, 0.000], [-4.964, 8.598, 0.000], [0.000, 0.000, 14.443]],
  "species": ["K", "K", "K", "K", "K", "K", "K", "K", "K", "K", "K", "K", "K", "K", "K", "K", "K", "K", "Gd", "Gd", "Gd", "Gd", "Gd", "Gd", "Si", "Si", "Si", "Si", "Si", "Si", "Si", "Si", "Si", "Si", "Si", "Si", "O", "O", "O", "O", "O", "O", "O", "O", "O", "O", "O", "O", "O", "O", "O", "O", "O", "O", "O", "O", "O", "O", "O", "O", "O", "O", "O", "O", "O", "O", "O", "O", "O", "O", "O", "O", "O", "O", "O", "O", "O", "O"],
  "frac_coords": [[0.000, 0.668, 0.589], [0.332, 0.332, 0.911], [0.667, 0.333, 0.250], [0.000, 0.332, 0.411], [0.332, 0.000, 0.089], [0.668, 0.000, 0.589], [0.668, 0.668, 0.411], [0.333, 0.667, 0.750], [0.668, 0.668, 0.089], [0.000, 0.000, 0.000], [0.332, 0.332, 0.589], [0.000, 0.668, 0.911], [0.333, 0.667, 0.250], [0.332, 0.000, 0.411], [0.000, 0.332, 0.089], [0.667, 0.333, 0.750], [0.000, 0.000, 0.500], [0.668, 0.000, 0.911], [0.667, 0.333, 0.500], [0.333, 0.667, 0.000], [0.333, 0.667, 0.500], [0.000, 0.000, 0.250], [0.667, 0.333, 0.000], [0.000, 0.000, 0.750], [0.341, 0.341, 0.143], [0.659, 0.659, 0.857], [0.341, 0.000, 0.643], [0.000, 0.659, 0.143], [0.000, 0.659, 0.357], [0.659, 0.000, 0.357], [0.659, 0.000, 0.143], [0.341, 0.000, 0.857], [0.000, 0.341, 0.857], [0.659, 0.659, 0.643], [0.000, 0.341, 0.643], [0.341, 0.341, 0.357], [0.156, 0.476, 0.908], [0.321, 0.844, 0.908], [0.000, 0.177, 0.853], [0.476, 0.156, 0.908], [0.177, 0.000, 0.647], [0.321, 0.476, 0.092], [0.823, 0.000, 0.147], [0.000, 0.823, 0.353], [0.406, 0.000, 0.750], [0.476, 0.321, 0.408], [0.321, 0.844, 0.592], [0.844, 0.524, 0.408], [0.000, 0.823, 0.147], [0.844, 0.321, 0.592], [0.679, 0.156, 0.092], [0.156, 0.679, 0.408], [0.000, 0.406, 0.750], [0.524, 0.679, 0.908], [0.679, 0.524, 0.592], [0.594, 0.594, 0.750], [0.476, 0.156, 0.592], [0.844, 0.524, 0.092], [0.524, 0.679, 0.592], [0.823, 0.000, 0.353], [0.321, 0.476, 0.408], [0.524, 0.844, 0.092], [0.823, 0.823, 0.647], [0.594, 0.000, 0.250], [0.177, 0.000, 0.853], [0.156, 0.476, 0.592], [0.844, 0.321, 0.908], [0.177, 0.177, 0.147], [0.156, 0.679, 0.092], [0.000, 0.177, 0.647], [0.177, 0.177, 0.353], [0.679, 0.156, 0.408], [0.679, 0.524, 0.908], [0.000, 0.594, 0.250], [0.476, 0.321, 0.092], [0.406, 0.406, 0.250], [0.823, 0.823, 0.853], [0.524, 0.844, 0.408]]
}

=====

[2]
{
  "formula": "Co2HgC",
  "functional": "SCAN",
  "state": "PBEsol geometry",
  "formation_energy_mev_per_atom": 1647,
  "space_group": "Fm-3m (225)",
  "lattice_angstrom": [[4.067, 0.000, 0.000], [2.033, 3.522, 0.000], [2.033, 1.174, 3.321]],
  "species": ["C", "Co", "Co", "Hg"],
  "frac_coords": [[0.000, 0.000, 0.000], [0.250, 0.250, 0.250], [0.750, 0.750, 0.750], [0.500, 0.500, 0.500]]
}

=====

[3]
{
  "formula": "Zr2ZnIn",
  "functional": "SCAN",
  "state": "PBEsol geometry",
  "formation_energy_mev_per_atom": -322,
  "space_group": "Imm2 (44)",
  "lattice_angstrom": [[-0.808, 2.946, -1.038], [-0.054, -1.667, -4.689], [-4.331, -1.783, 3.325]],
  "species": ["Zn", "Zr", "Zr", "In"],
  "frac_coords": [[0.756, 0.756, 0.511], [0.015, 0.515, 0.030], [0.251, 0.251, 0.503], [0.478, 0.978, 0.956]]
}

=====

[4]
{
  "formula": "La2SbSe",
  "functional": "SCAN",
  "state": "PBEsol geometry",
  "e_form_raw_mev_per_atom": -1822,
  "e_above_lowest_polymorph_mev_per_atom": 9,
  "space_group": "P4/mmm (123)",
  "lattice_angstrom": [[4.423, 0.000, 0.000], [0.000, 4.423, 0.000], [0.000, 0.000, 6.244]],
  "species": ["Sb", "Se", "La", "La"],
  "frac_coords": [[0.000, 0.000, 0.000], [0.500, 0.500, 0.500], [0.500, 0.500, 0.000], [0.000, 0.000, 0.500]]
}

=====

[5]
{
  "formula": "Zn2GaCuIr",
  "functional": "SCAN",
  "state": "PBEsol geometry",
  "formation_energy_mev_per_atom": 933,
  "space_group": "P4/mmm (123)",
  "lattice_angstrom": [[4.445, 0.000, 0.000], [0.000, 4.445, 0.000], [0.000, 0.000, 4.562]],
  "species": ["Zn", "Zn", "Ir", "Cu", "Ga"],
  "frac_coords": [[0.000, 0.500, 0.000], [0.500, 0.000, 0.000], [0.000, 0.000, 0.500], [0.500, 0.500, 0.500], [0.000, 0.000, 0.000]]
}

=====

[6]
{
  "formula": "TaNiIr2",
  "functional": "SCAN",
  "state": "PBEsol geometry",
  "formation_energy_mev_per_atom": -368,
  "space_group": "C2/m (12)",
  "lattice_angstrom": [[-0.541, -1.622, 2.158], [4.477, 1.112, 0.203], [-1.818, 3.674, 2.304]],
  "species": ["Ir", "Ir", "Ni", "Ta"],
  "frac_coords": [[0.752, 0.505, 0.764], [0.248, 0.495, 0.236], [0.500, 0.000, 0.000], [0.000, 0.000, 0.500]]
}

=====

[7]
{
  "formula": "TeWC2",
  "functional": "SCAN",
  "state": "PBEsol geometry",
  "e_form_raw_mev_per_atom": 1238,
  "space_group": "I-42d (122)",
  "lattice_angstrom": [[-0.496, 4.964, -1.572], [-3.964, -1.853, 4.100], [0.849, 1.635, 4.895]],
  "species": ["C", "C", "C", "C", "Te", "Te", "W", "W"],
  "frac_coords": [[0.703, 0.750, 0.375], [0.047, 0.750, 0.875], [0.875, 0.250, 0.703], [0.375, 0.250, 0.047], [0.250, 0.500, 0.250], [0.500, 0.000, 0.500], [0.750, 0.500, 0.750], [0.000, 0.000, 0.000]]
}

=====

[8]
{
  "formula": "KTa2Cd",
  "functional": "SCAN",
  "state": "PBEsol geometry",
  "formation_energy_mev_per_atom": 1289,
  "space_group": "I-4m2 (119)",
  "lattice_angstrom": [[-3.082, 3.798, 0.339], [-1.212, -4.331, 1.954], [-0.751, 2.178, 4.328]],
  "species": ["Cd", "K", "Ta", "Ta"],
  "frac_coords": [[0.000, 0.500, 0.500], [0.500, 0.750, 0.750], [0.000, 0.000, 0.000], [0.500, 0.250, 0.250]]
}

=====

[9]
{
  "formula": "BaScNi",
  "functional": "SCAN",
  "state": "PBEsol geometry",
  "formation_energy_mev_per_atom": 397,
  "space_group": "F-43m (216)",
  "lattice_angstrom": [[4.839, 0.000, 0.000], [2.419, 4.190, 0.000], [2.419, 1.397, 3.951]],
  "species": ["Ba", "Ni", "Sc"],
  "frac_coords": [[0.500, 0.500, 0.500], [0.750, 0.750, 0.750], [0.000, 0.000, 0.000]]
}

=====

[10]
{
  "formula": "LiMnSi3O8",
  "functional": "SCAN",
  "state": "PBEsol geometry",
  "e_form_raw_mev_per_atom": -2735,
  "space_group": "P-1 (2)",
  "lattice_angstrom": [[7.050, -0.110, -0.055], [0.817, 7.110, 0.107], [3.393, 3.160, 6.109]],
  "species": ["Li", "Li", "Mn", "Mn", "Si", "Si", "Si", "Si", "Si", "Si", "O", "O", "O", "O", "O", "O", "O", "O", "O", "O", "O", "O", "O", "O", "O", "O"],
  "frac_coords": [[0.805, 0.658, 0.168], [0.195, 0.342, 0.832], [0.168, 0.927, 0.774], [0.832, 0.073, 0.226], [0.737, 0.777, 0.771], [0.263, 0.223, 0.229], [0.617, 0.207, 0.543], [0.383, 0.793, 0.457], [0.731, 0.331, 0.834], [0.269, 0.669, 0.166], [0.896, 0.830, 0.846], [0.104, 0.170, 0.154], [0.728, 0.280, 0.652], [0.272, 0.720, 0.348], [0.503, 0.734, 0.965], [0.497, 0.266, 0.035], [0.363, 0.143, 0.701], [0.637, 0.857, 0.299], [0.904, 0.211, 0.925], [0.096, 0.789, 0.075], [0.730, 0.982, 0.547], [0.270, 0.018, 0.453], [0.799, 0.588, 0.708], [0.201, 0.412, 0.292], [0.698, 0.355, 0.285], [0.302, 0.645, 0.715]]
}

=====

[11]
{
  "formula": "SrYOs2",
  "functional": "SCAN",
  "state": "PBEsol geometry",
  "formation_energy_mev_per_atom": 405,
  "e_above_lowest_polymorph_mev_per_atom": 0,
  "space_group": "Imm2 (44)",
  "lattice_angstrom": [[-2.355, 2.051, 0.279], [-1.492, -2.293, 4.263], [5.043, 3.319, 0.540]],
  "species": ["Os", "Os", "Sr", "Y"],
  "frac_coords": [[0.973, 0.973, 0.946], [0.285, 0.785, 0.569], [0.517, 0.517, 0.034], [0.725, 0.225, 0.451]]
}

=====

[12]
{
  "formula": "SrHfN2",
  "functional": "SCAN",
  "state": "PBEsol geometry",
  "e_form_raw_mev_per_atom": -1599,
  "space_group": "I-42d (122)",
  "lattice_angstrom": [[-0.742, -4.442, 3.565], [5.339, 2.184, -0.795], [-3.886, 3.023, 2.959]],
  "species": ["Sr", "Sr", "Hf", "Hf", "N", "N", "N", "N"],
  "frac_coords": [[0.750, 0.500, 0.250], [0.500, 0.000, 0.500], [0.250, 0.500, 0.750], [0.000, 0.000, 0.000], [0.303, 0.250, 0.375], [0.947, 0.250, 0.875], [0.125, 0.750, 0.697], [0.625, 0.750, 0.053]]
}